# PBE-GGA Er2Al8Ag, optimized geometry
# VASP energy	-4.082	eV per atom
# M_tot	0.0	Bohr magnetons per cell
# formation energy from the elements	-0.271	eV/atom
data_Er2Al8Ag
_chemical_formula_sum 'Er2 Al8 Ag1'
_cell_length_a 4.324
_cell_length_b 4.324
_cell_length_c 11.231
_cell_angle_alpha 90.00
_cell_angle_beta 90.00
_cell_angle_gamma 90.00
_space_group_name_H-M_alt 'P 4/m m m'
_space_group_IT_number 123
_space_group_name_Hall '-P 4 2'
loop_
_atom_site_label
_atom_site_type_symbol
_atom_site_fract_x
_atom_site_fract_y
_atom_site_fract_z
_atom_site_occupancy
Er1 Er 0.000 0.000 0.184 1
Al1 Al 0.000 0.500 0.000 1
Al2 Al 0.000 0.500 0.367 1
Al3 Al 0.500 0.500 0.192 1
Ag1 Ag 0.000 0.000 0.500 1

***

# PBE-GGA ErAlAg3, optimized geometry
# VASP energy	-3.603	eV per atom
# energy relative to the lowest polymorph listed for this composition	0	meV/atom
# M_tot	0.0	Bohr magnetons per cell
# formation energy from the elements	-0.231	eV/atom
data_ErAlAg3
_chemical_formula_sum 'Er2 Al2 Ag6'
_cell_length_a 6.122
_cell_length_b 4.628
_cell_length_c 7.317
_cell_angle_alpha 90.00
_cell_angle_beta 107.87
_cell_angle_gamma 90.00
_space_group_name_H-M_alt 'P 1 21/m 1'
_space_group_IT_number 11
loop_
_space_group_symop_operation_xyz
'x,y,z'
'-x,-y,-z'
'-x,y+1/2,-z'
'x,-y+1/2,z'
loop_
_atom_site_label
_atom_site_type_symbol
_atom_site_fract_x
_atom_site_fract_y
_atom_site_fract_z
_atom_site_occupancy
Er1 Er 0.191 0.250 0.197 1
Al1 Al 0.197 0.750 0.571 1
Ag1 Ag 0.128 0.250 0.763 1
Ag2 Ag 0.354 0.750 0.967 1
Ag3 Ag 0.500 0.250 0.619 1

***

# PBE-GGA Er2Al2Ag, optimized geometry
# VASP energy	-4.278	eV per atom
# energy relative to the lowest polymorph listed for this composition	8	meV/atom
# M_tot	0.0	Bohr magnetons per cell
# formation energy from the elements	-0.385	eV/atom
data_Er2Al2Ag
_chemical_formula_sum 'Er4 Al4 Ag2'
_cell_length_a 6.960
_cell_length_b 6.960
_cell_length_c 4.611
_cell_angle_alpha 90.00
_cell_angle_beta 90.00
_cell_angle_gamma 90.00
_space_group_name_H-M_alt 'P 4/m b m'
_space_group_IT_number 127
_space_group_name_Hall '-P 4 2ab'
loop_
_atom_site_label
_atom_site_type_symbol
_atom_site_fract_x
_atom_site_fract_y
_atom_site_fract_z
_atom_site_occupancy
Er1 Er 0.168 0.332 0.000 1
Al1 Al 0.135 0.635 0.500 1
Ag1 Ag 0.000 0.000 0.500 1